(1)
Here is a relaxed structure of ScRe4P from the Alexandria database. Energies are from PBE.

Calculated values
Total DFT energy (no corrections): -9.92 eV/atom
Symmetry: F-43m, No. 216
Calculated volume: 16.9 A^3/atom
Magnetization: 0.00 μB per formula unit
Density of states at the Fermi level: 4.18 states/eV/f.u.

```
ScRe4P
1.0
4.3746 -2.7809 0.7372
1.5748 -1.1643 4.8557
-0.2939 -4.9310 1.7358
Sc Re P
1 4 1
direct
0.7500 0.7500 0.7500
0.8773 0.3742 0.3742
0.3742 0.3742 0.8773
0.3742 0.8773 0.3742
0.3742 0.3742 0.3742
0.0000 0.0000 0.0000
```

---

(2)
Here is a relaxed structure of Ac3Bi2O2 from the Alexandria database. Energies are from PBE.

Calculated values
Formation energy from raw total energies: -2.007 eV per atom
Symmetry: C2/m, No. 12
Polymorph energy (0 for the lowest one): 0.52 eV per formula unit
Calculated volume: 31.9 A^3/atom
Magnetization: 0.00 μB per formula unit
Density of states at the Fermi level: 2.89 states/eV/f.u.

```
Ac3Bi2O2
1.0
-3.5127 -0.9791 2.3684
4.7312 -3.4748 5.5804
0.9452 6.9997 0.3040
Ac Bi O
3 2 2
direct
0.0000 0.5000 0.0000
0.3142 0.7125 0.6283
0.6858 0.2875 0.3717
0.6199 0.8297 0.2397
0.3801 0.1703 0.7603
0.8343 0.5767 0.6685
0.1657 0.4233 0.3315
```

---

(3)
Here is a relaxed structure of Tb2PrZn2Sn2 from the Alexandria database. Energies are from PBE.

Calculated values
Total DFT energy (no corrections): -3.88 eV/atom
Symmetry: R-3m, No. 166
Calculated volume: 25.7 A^3/atom
Magnetization: 0.00 μB per formula unit
Density of states at the Fermi level: 7.23 states/eV/f.u.

```
Tb2PrZn2Sn2
1.0
-1.6127 4.3784 -0.3016
-3.8897 0.8962 -2.4351
-7.0439 0.3776 6.9013
Tb Pr Zn Sn
2 1 2 2
direct
0.1321 0.1321 0.6037
0.8679 0.8679 0.3963
0.0000 0.0000 0.0000
0.5786 0.5786 0.2643
0.4214 0.4214 0.7357
0.7354 0.7354 0.7937
0.2646 0.2646 0.2063
```

---

(4)
Here is a relaxed structure of TbTi3 from the Alexandria database. Energies are from PBE.

Calculated values
Total DFT energy (no corrections): -6.87 eV/atom
Symmetry: Pmm2, No. 25
Calculated volume: 20.6 A^3/atom
Magnetization: 0.00 μB per formula unit
Density of states at the Fermi level: 4.71 states/eV/f.u.

```
TbTi3
1.0
3.0845 0.0000 0.0000
0.0000 4.8144 0.0000
0.0000 0.0000 5.5388
Tb Ti
1 3
direct
0.0000 0.5000 0.3244
0.0000 0.0000 0.9758
0.5000 0.0000 0.5464
0.5000 0.5000 0.8200
```

---

(5)
Here is a relaxed structure of La3PmPr6Dy2 from the Alexandria database. Energies are from PBE.

Calculated values
Total DFT energy (no corrections): -4.77 eV/atom
Symmetry: C2/m, No. 12
Calculated volume: 35.5 A^3/atom
Magnetization: 0.00 μB per formula unit
Density of states at the Fermi level: 20.46 states/eV/f.u.

```
La3PmPr6Dy2
1.0
-2.2035 5.2496 2.9233
-3.9529 -3.6142 -3.5031
-0.5892 -7.0882 9.9370
La Pm Pr Dy
3 1 6 2
direct
0.1671 0.8329 0.5000
0.8329 0.1671 0.5000
0.5000 0.5000 0.5000
0.0000 0.0000 0.0000
0.9183 0.5841 0.7550
0.7478 0.7478 0.2451
0.0817 0.4159 0.2450
0.5841 0.9183 0.7550
0.2522 0.2522 0.7549
0.4159 0.0817 0.2450
0.3334 0.6666 0.0000
0.6666 0.3334 0.0000
```

---

(6)
Here is a relaxed structure of LiTiTe2N from the Alexandria database. Energies are from PBE.

Calculated values
Formation energy from raw total energies: -0.283 eV per atom
Symmetry: P4/mmm, No. 123
Polymorph energy (0 for the lowest one): 0.00 eV per formula unit
Calculated volume: 23.9 A^3/atom
Magnetization: 0.00 μB per formula unit
Density of states at the Fermi level: 2.43 states/eV/f.u.

```
LiTiTe2N
1.0
5.6954 0.0000 0.0000
0.0000 5.6954 0.0000
0.0000 0.0000 3.6862
N Te Li Ti
1 2 1 1
direct
0.0000 0.0000 0.5000
0.0000 0.5000 0.0000
0.5000 0.0000 0.0000
0.5000 0.5000 0.5000
0.0000 0.0000 0.0000
```

---

(7)
Here is a relaxed structure of InPCCl2 from the Alexandria database. Energies are from PBE.

Calculated values
Formation energy from raw total energies: 1.150 eV per atom
Symmetry: P4/mmm, No. 123
Polymorph energy (0 for the lowest one): 2.40 eV per formula unit
Calculated volume: 19.8 A^3/atom
Magnetization: 0.04 μB per formula unit
Density of states at the Fermi level: 3.69 states/eV/f.u.

```
InPCCl2
1.0
-0.9278 3.5942 2.6689
-3.0469 -2.6397 2.4957
3.3778 -1.2267 2.8262
P C Cl In
1 1 2 1
direct
0.5000 0.5000 0.5000
0.0000 0.0000 0.0000
0.0000 0.0000 0.5000
0.5000 0.0000 0.0000
0.0000 0.5000 0.0000
```

---

(8)
Here is a relaxed structure of Pm5Pt2O from the Alexandria database. Energies are from PBE.

Calculated values
Formation energy from raw total energies: -1.169 eV per atom
Symmetry: Fmmm, No. 69
Calculated volume: 24.9 A^3/atom
Magnetization: 0.00 μB per formula unit
Density of states at the Fermi level: 5.12 states/eV/f.u.

```
Pm5Pt2O
1.0
-0.0619 -5.0409 -0.3466
3.4947 2.7724 -4.1109
11.1335 -0.7526 8.9572
Pm Pt O
10 4 2
direct
0.8999 0.7998 0.8846
0.8999 0.7998 0.6154
0.3998 0.7996 0.3845
0.3998 0.7996 0.1155
0.7499 0.4998 0.2500
0.2501 0.5002 0.7500
0.6002 0.2004 0.6155
0.6002 0.2004 0.8845
0.1001 0.2002 0.1154
0.1001 0.2002 0.3846
0.7500 0.5000 0.4437
0.7500 0.5000 0.0563
0.2500 0.5000 0.5563
0.2500 0.5000 0.9437
0.7501 0.5001 0.7500
0.2499 0.4999 0.2500
```